[1]
## MgOs (GGA-PBE)

Data for an optimized crystal structure of MgOs.

a = 7.165 Å, b = 7.165 Å, c = 7.165 Å
α = 109.47°, β = 109.47°, γ = 109.47°
Positions (direct):
Mg1 0.000 0.000 0.594
Mg2 0.000 0.594 0.000
Mg3 0.406 0.406 0.406
Mg4 0.594 0.000 0.000
Os1 0.000 0.000 0.213
Os2 0.000 0.213 0.000
Os3 0.213 0.000 0.000
Os4 0.787 0.787 0.787

Output
total magnetic moment: 2.2 μB/cell



[2]
## KTcNi (GGA-PBE)

Data for an optimized crystal structure of KTcNi.

a = 3.977 Å, b = 3.977 Å, c = 11.222 Å
α = 90.00°, β = 90.00°, γ = 120.00°
Positions (direct):
K1 0.000 0.000 0.000
K2 0.000 0.000 0.500
Tc1 0.333 0.667 0.250
Tc2 0.667 0.333 0.750
Ni1 0.333 0.667 0.750
Ni2 0.667 0.333 0.250

Output
offset from the most stable computed form: 2.07 eV per formula unit
total magnetic moment: 3.3 μB/cell



Respective formation energy values: 1.530; 1.116 eV per atom.